TaNi2Sn | PBE | relaxed

For the total magnetic moment, the calculation gives 0.000 μB/atom. The density of states at the Fermi level comes out at 5.4 states/eV/f.u. Its formation energy is -0.054 eV/atom.

abc: 4.0853 4.0853 3.6319
angles: 90.00 90.00 90.00
With the nearest neighbours (Å) after each atom.
Space group P4/mmm (No. 123)
Unique sites:
Ta: 0.0000 0.0000 0.0000 x1  8 Ni 2.73, 4 Sn 2.89
Ni: 0.0000 0.5000 0.5000 x2  4 Ta 2.73, 4 Sn 2.73, 4 Ni 2.89
Sn: 0.5000 0.5000 0.0000 x1  8 Ni 2.73, 4 Ta 2.89

***

KCdClO | PBE | relaxed

For the total magnetic moment, the calculation gives 0.000 μB/atom. As for the uncorrected formation energy: -1.1375 eV per atom.

abc: 3.3915 3.7608 13.8128
angles: 90.00 90.00 90.00
With the nearest neighbours (Å) after each atom.
Space group Imm2 (No. 44)
Unique sites:
K: 0.0000 0.0000 0.0000 x2  4 O 2.87
Cd: 0.0000 0.5000 0.8045 x2  2 O 2.17
Cl: 0.0000 0.5000 0.1898 x2  4 Cd 2.99, 2 K 3.23
O: 0.0000 0.0000 0.4026 x2  2 Cd 2.17

***

HoAgAu | PBE | relaxed

Its distance to the lowest polymorph of the same formula is 0.000 eV per atom. For the total magnetic moment, the calculation gives 0.000 μB/atom. The density of states at the Fermi level comes out at 1.1 states/eV/f.u. Its formation energy is -0.622 eV/atom.

abc: 3.7270 3.7270 9.1242
angles: 90.00 90.00 90.00
With the nearest neighbours (Å) after each atom.
Space group I4mm (No. 107)
Unique sites:
Ho: 0.0000 0.0000 0.0000 x2  5 Ag 2.99-3.07, 5 Au 3.01-3.10
Ag: 0.0000 0.0000 0.6728 x2  5 Ho 2.99-3.07, 5 Au 3.04-3.05
Au: 0.0000 0.0000 0.3402 x2  5 Ho 3.01-3.10, 5 Ag 3.04-3.05

***

KSc2Ir2 | PBE | relaxed

Its distance to the lowest polymorph of the same formula is 0.000 eV per atom. For the total magnetic moment, the calculation gives 0.000 μB/atom. The density of states at the Fermi level comes out at 3.4 states/eV/f.u. Its formation energy is -0.383 eV/atom.

abc: 8.1738 8.1738 3.0508
angles: 90.00 90.00 90.00
With the nearest neighbours (Å) after each atom.
Space group P4/mbm (No. 127)
Unique sites:
K: 0.0000 0.0000 0.0000 x2  2 K 3.05, 4 Ir 3.15
Sc: 0.1400 0.3600 0.5000 x4  6 Ir 2.76-2.95, 2 Sc 3.05
Ir: 0.1416 0.6416 0.0000 x4  6 Sc 2.76-2.95, 2 Ir 3.05

***

Ce4ZnIn2 | PBE | relaxed

For the total magnetic moment, the calculation gives 0.199 μB/atom. The density of states at the Fermi level comes out at 15.3 states/eV/f.u. Its formation energy is -0.060 eV/atom.

abc: 3.2937 25.5146 4.2999
angles: 90.00 90.00 90.00
With the nearest neighbours (Å) after each atom.
Space group Cmmm (No. 65)
Unique sites:
Ce: 0.0000 0.0693 0.0000 x4  6 Ce 3.06-3.29, 4 Zn 3.23, 1 In 3.35
Ce: 0.0000 0.3752 0.5000 x4  6 Ce 3.06-3.29, 1 Zn 3.18, 4 In 3.33
Zn: 0.0000 0.5000 0.5000 x2  10 Ce 3.18-3.23, 2 Zn 3.29
In: 0.0000 0.2007 0.0000 x4  4 In 3.01-3.29, 5 Ce 3.33-3.35

***

CaGaGe | PBE | relaxed

For the total magnetic moment, the calculation gives 0.000 μB/atom. The density of states at the Fermi level comes out at 0.7 states/eV/f.u. Its formation energy is -0.530 eV/atom.

abc: 4.2595 4.2595 17.2753
angles: 90.00 90.00 120.00
With the nearest neighbours (Å) after each atom.
Space group P6_3/mmc (No. 194)
Unique sites:
Ca: 0.0000 0.0000 0.0000 x2  6 Ge 3.12
Ca: 0.0000 0.0000 0.2500 x2  6 Ga 2.97
Ga: 0.3333 0.6667 0.1531 x4  3 Ge 2.56
Ge: 0.3333 0.6667 0.6112 x4  3 Ga 2.56